# 1
# TlSnTeBr (GGA-PBE, optimized geometry)
data_TlSnTeBr
_chemical_formula_sum 'Tl3 Sn3 Te3 Br3'
_cell_length_a 4.5167
_cell_length_b 4.5167
_cell_length_c 24.3960
_cell_angle_alpha 90.00
_cell_angle_beta 90.00
_cell_angle_gamma 120.00
_symmetry_space_group_name_H-M 'R 3 m'
_symmetry_Int_Tables_number 160
_symmetry_space_group_name_Hall 'R 3 -2"'
loop_
_atom_site_label
_atom_site_fract_x
_atom_site_fract_y
_atom_site_fract_z
Tl1 0.0000 0.0000 0.0000
Sn1 0.0000 0.0000 0.1703
Te1 0.0000 0.0000 0.5711
Br1 0.0000 0.0000 0.7531
# formation energy from raw total energies	-0.5067	eV/atom
# spin magnetization	0.000	μB per cell
# theoretical density	6.132	g/cm³
# calculated volume	431.1	Å³ per cell

---

# 2
# ScSb2IF (GGA-PBE, optimized geometry)
data_ScSb2IF
_chemical_formula_sum 'Sc1 Sb2 I1 F1'
_cell_length_a 5.4947
_cell_length_b 5.4947
_cell_length_c 5.5043
_cell_angle_alpha 90.00
_cell_angle_beta 90.00
_cell_angle_gamma 90.00
_symmetry_space_group_name_H-M 'P 4/m m m'
_symmetry_Int_Tables_number 123
_symmetry_space_group_name_Hall '-P 4 2'
loop_
_atom_site_label
_atom_site_fract_x
_atom_site_fract_y
_atom_site_fract_z
Sc1 0.0000 0.0000 0.0000
Sb1 0.0000 0.5000 0.0000
I1 0.0000 0.0000 0.5000
F1 0.5000 0.5000 0.5000
# DOS at the Fermi energy	0.76	states/eV per atom
# ΔE to the lowest computed polymorph	0.1969	eV/atom
# formation energy from raw total energies	-0.1990	eV/atom
# spin magnetization	0.000	μB per cell
# theoretical density	4.340	g/cm³
# calculated volume	166.2	Å³ per cell

---

# 3
# KScC (GGA-PBE, optimized geometry)
data_KScC
_chemical_formula_sum 'K4 Sc4 C4'
_cell_length_a 7.7716
_cell_length_b 3.9725
_cell_length_c 8.6002
_cell_angle_alpha 90.00
_cell_angle_beta 90.00
_cell_angle_gamma 90.00
_symmetry_space_group_name_H-M 'P n m a'
_symmetry_Int_Tables_number 62
loop_
_symmetry_equiv_pos_as_xyz
'x,y,z'
'-x,-y,-z'
'-x+1/2,-y,z+1/2'
'x+1/2,y,-z+1/2'
'x+1/2,-y+1/2,-z+1/2'
'-x+1/2,y+1/2,z+1/2'
'-x,y+1/2,-z'
'x,-y+1/2,z'
loop_
_atom_site_label
_atom_site_fract_x
_atom_site_fract_y
_atom_site_fract_z
K1 0.0071 0.2500 0.1703
Sc1 0.1339 0.2500 0.5450
C1 0.1471 0.7500 0.4282
# DOS at the Fermi energy	0.00	states/eV per atom
# ΔE to the lowest computed polymorph	0.4765	eV/atom
# spin magnetization	0.000	μB per cell
# theoretical density	2.403	g/cm³
# calculated volume	265.5	Å³ per cell
# E_form	0.44	eV per atom

---

# 4
# Ac3Te5S12 (GGA-PBE, optimized geometry)
data_Ac3Te5S12
_chemical_formula_sum 'Ac24 Te40 S96'
_cell_length_a 16.7288
_cell_length_b 16.7288
_cell_length_c 16.7288
_cell_angle_alpha 90.00
_cell_angle_beta 90.00
_cell_angle_gamma 90.00
_symmetry_space_group_name_H-M 'I a -3 d'
_symmetry_Int_Tables_number 230
_symmetry_space_group_name_Hall '-I 4bd 2c 3'
loop_
_atom_site_label
_atom_site_fract_x
_atom_site_fract_y
_atom_site_fract_z
Ac1 0.0000 0.2500 0.1250
Te1 0.0000 0.0000 0.0000
Te2 0.0000 0.2500 0.3750
S1 0.0171 0.0611 0.6499
# DOS at the Fermi energy	0.48	states/eV per atom
# formation energy from raw total energies	-0.5655	eV/atom
# spin magnetization	0.000	μB per cell
# theoretical density	4.835	g/cm³
# calculated volume	4681.6	Å³ per cell

---

# 5
# Ho8CuHg2 (GGA-PBE, optimized geometry)
data_Ho8CuHg2
_chemical_formula_sum 'Ho16 Cu2 Hg4'
_cell_length_a 17.7851
_cell_length_b 5.1596
_cell_length_c 6.7886
_cell_angle_alpha 90.00
_cell_angle_beta 104.64
_cell_angle_gamma 90.00
_symmetry_space_group_name_H-M 'C 1 2/m 1'
_symmetry_Int_Tables_number 12
loop_
_symmetry_equiv_pos_as_xyz
'x,y,z'
'-x,-y,-z'
'-x,y,-z'
'x,-y,z'
'x+1/2,y+1/2,z'
'-x+1/2,-y+1/2,-z'
'-x+1/2,y+1/2,-z'
'x+1/2,-y+1/2,z'
loop_
_atom_site_label
_atom_site_fract_x
_atom_site_fract_y
_atom_site_fract_z
Ho1 0.0231 0.0000 0.2759
Ho2 0.0896 0.5000 0.9460
Ho3 0.1564 0.5000 0.4671
Ho4 0.2007 0.0000 0.8103
Cu1 0.0000 0.5000 0.5000
Hg1 0.1883 0.0000 0.2334
# DOS at the Fermi energy	0.86	states/eV per atom
# spin magnetization	0.002	μB per cell
# theoretical density	9.831	g/cm³
# calculated volume	602.7	Å³ per cell
# E_form	-0.19	eV per atom

---

# 6
# Ni2OsRh (GGA-PBE, optimized geometry)
data_Ni2OsRh
_chemical_formula_sum 'Ni2 Os1 Rh1'
_cell_length_a 3.7503
_cell_length_b 3.7503
_cell_length_c 3.5939
_cell_angle_alpha 90.00
_cell_angle_beta 90.00
_cell_angle_gamma 90.00
_symmetry_space_group_name_H-M 'P 4/m m m'
_symmetry_Int_Tables_number 123
_symmetry_space_group_name_Hall '-P 4 2'
loop_
_atom_site_label
_atom_site_fract_x
_atom_site_fract_y
_atom_site_fract_z
Ni1 0.0000 0.5000 0.0000
Os1 0.0000 0.0000 0.5000
Rh1 0.5000 0.5000 0.5000
# DOS at the Fermi energy	1.69	states/eV per atom
# spin magnetization	0.007	μB per cell
# theoretical density	13.486	g/cm³
# calculated volume	50.5	Å³ per cell
# E_form	0.18	eV per atom

---

# 7
# Li2NbCu (GGA-PBE, optimized geometry)
data_Li2NbCu
_chemical_formula_sum 'Li8 Nb4 Cu4'
_cell_length_a 6.0300
_cell_length_b 6.0300
_cell_length_c 6.0300
_cell_angle_alpha 90.00
_cell_angle_beta 90.00
_cell_angle_gamma 90.00
_symmetry_space_group_name_H-M 'F m -3 m'
_symmetry_Int_Tables_number 225
_symmetry_space_group_name_Hall '-F 4 2 3'
loop_
_atom_site_label
_atom_site_fract_x
_atom_site_fract_y
_atom_site_fract_z
Li1 0.2500 0.2500 0.2500
Nb1 0.0000 0.0000 0.0000
Cu1 0.0000 0.0000 0.5000
# DOS at the Fermi energy	0.31	states/eV per atom
# ΔE to the lowest computed polymorph	0.2641	eV/atom
# spin magnetization	0.000	μB per cell
# theoretical density	5.160	g/cm³
# calculated volume	219.3	Å³ per cell
# E_form	0.53	eV per atom

---

# 8
# CaPm8Pr5 (GGA-PBE, optimized geometry)
data_CaPm8Pr5
_chemical_formula_sum 'Ca2 Pm16 Pr10'
_cell_length_a 9.8942
_cell_length_b 9.8942
_cell_length_c 10.4115
_cell_angle_alpha 90.00
_cell_angle_beta 90.00
_cell_angle_gamma 90.00
_symmetry_space_group_name_H-M 'I -4'
_symmetry_Int_Tables_number 82
loop_
_symmetry_equiv_pos_as_xyz
'x,y,z'
'y,-x,-z'
'-x,-y,z'
'-y,x,-z'
'x+1/2,y+1/2,z+1/2'
'y+1/2,-x+1/2,-z+1/2'
'-x+1/2,-y+1/2,z+1/2'
'-y+1/2,x+1/2,-z+1/2'
loop_
_atom_site_label
_atom_site_fract_x
_atom_site_fract_y
_atom_site_fract_z
Ca1 0.0000 0.0000 0.0000
Pm1 0.0731 0.8245 0.6484
Pm2 0.0859 0.6749 0.9947
Pr1 0.0000 0.5000 0.7500
Pr2 0.1075 0.7108 0.3239
# DOS at the Fermi energy	1.39	states/eV per atom
# spin magnetization	0.000	μB per cell
# theoretical density	6.206	g/cm³
# calculated volume	1019.2	Å³ per cell
# E_form	0.22	eV per atom